Entry 1:
A geometry-optimized LiAlCu2 structure, computed with GGA-PBE.

```
data_LiAlCu2
_chemical_formula_sum 'Li2 Al2 Cu4'
_cell_length_a 4.2149
_cell_length_b 4.2149
_cell_length_c 7.1834
_cell_angle_alpha 90.00
_cell_angle_beta 90.00
_cell_angle_gamma 120.00
_symmetry_space_group_name_H-M 'P 63/m m c'
_symmetry_Int_Tables_number 194
_symmetry_space_group_name_Hall '-P 6c 2c'
loop_
_atom_site_label
_atom_site_fract_x
_atom_site_fract_y
_atom_site_fract_z
Li1 0.0000 0.0000 0.2500
Al1 0.3333 0.6667 0.2500
Cu1 0.3333 0.6667 0.5837
```


Entry 2:
A geometry-optimized Li4MgAlCu2 structure, computed with GGA-PBE.

```
data_Li4MgAlCu2
_chemical_formula_sum 'Li4 Mg1 Al1 Cu2'
_cell_length_a 4.3329
_cell_length_b 4.3329
_cell_length_c 6.1195
_cell_angle_alpha 90.00
_cell_angle_beta 90.00
_cell_angle_gamma 90.00
_symmetry_space_group_name_H-M 'P -4 m 2'
_symmetry_Int_Tables_number 115
loop_
_symmetry_equiv_pos_as_xyz
'x,y,z'
'y,-x,-z'
'-x,-y,z'
'-y,x,-z'
'-x,y,z'
'-y,-x,-z'
'x,-y,z'
'y,x,-z'
loop_
_atom_site_label
_atom_site_fract_x
_atom_site_fract_y
_atom_site_fract_z
Li1 0.0000 0.0000 0.0000
Li2 0.0000 0.5000 0.7370
Li3 0.5000 0.5000 0.5000
Mg1 0.5000 0.5000 0.0000
Al1 0.0000 0.0000 0.5000
Cu1 0.0000 0.5000 0.2742
```


Entry 3:
A geometry-optimized Li4MgAl2Cu structure, computed with GGA-PBE.

```
data_Li4MgAl2Cu
_chemical_formula_sum 'Li4 Mg1 Al2 Cu1'
_cell_length_a 4.3728
_cell_length_b 4.3728
_cell_length_c 6.4119
_cell_angle_alpha 90.00
_cell_angle_beta 90.00
_cell_angle_gamma 90.00
_symmetry_space_group_name_H-M 'P -4 m 2'
_symmetry_Int_Tables_number 115
loop_
_symmetry_equiv_pos_as_xyz
'x,y,z'
'y,-x,-z'
'-x,-y,z'
'-y,x,-z'
'-x,y,z'
'-y,-x,-z'
'x,-y,z'
'y,x,-z'
loop_
_atom_site_label
_atom_site_fract_x
_atom_site_fract_y
_atom_site_fract_z
Li1 0.0000 0.0000 0.0000
Li2 0.0000 0.5000 0.7246
Li3 0.5000 0.5000 0.5000
Mg1 0.5000 0.5000 0.0000
Al1 0.0000 0.5000 0.2831
Cu1 0.0000 0.0000 0.5000
```


Entry 4:
A geometry-optimized LiMg2Al2Cu2Pd structure, computed with GGA-PBE.

```
data_LiMg2Al2Cu2Pd
_chemical_formula_sum 'Li1 Mg2 Al2 Cu2 Pd1'
_cell_length_a 4.3792
_cell_length_b 4.3792
_cell_length_c 6.1738
_cell_angle_alpha 90.00
_cell_angle_beta 90.00
_cell_angle_gamma 90.00
_symmetry_space_group_name_H-M 'P -4 m 2'
_symmetry_Int_Tables_number 115
loop_
_symmetry_equiv_pos_as_xyz
'x,y,z'
'y,-x,-z'
'-x,-y,z'
'-y,x,-z'
'-x,y,z'
'-y,-x,-z'
'x,-y,z'
'y,x,-z'
loop_
_atom_site_label
_atom_site_fract_x
_atom_site_fract_y
_atom_site_fract_z
Li1 0.0000 0.0000 0.0000
Mg1 0.0000 0.5000 0.7516
Al1 0.0000 0.5000 0.2592
Cu1 0.0000 0.0000 0.5000
Cu2 0.5000 0.5000 0.0000
Pd1 0.5000 0.5000 0.5000
```


Entry 5:
A geometry-optimized Li2MgAl2CuPd2 structure, computed with GGA-PBE.

```
data_Li2MgAl2CuPd2
_chemical_formula_sum 'Li2 Mg1 Al2 Cu1 Pd2'
_cell_length_a 4.3261
_cell_length_b 4.3261
_cell_length_c 6.1686
_cell_angle_alpha 90.00
_cell_angle_beta 90.00
_cell_angle_gamma 90.00
_symmetry_space_group_name_H-M 'P -4 m 2'
_symmetry_Int_Tables_number 115
loop_
_symmetry_equiv_pos_as_xyz
'x,y,z'
'y,-x,-z'
'-x,-y,z'
'-y,x,-z'
'-x,y,z'
'-y,-x,-z'
'x,-y,z'
'y,x,-z'
loop_
_atom_site_label
_atom_site_fract_x
_atom_site_fract_y
_atom_site_fract_z
Li1 0.0000 0.5000 0.2320
Mg1 0.0000 0.0000 0.5000
Al1 0.0000 0.0000 0.0000
Al2 0.5000 0.5000 0.5000
Cu1 0.5000 0.5000 0.0000
Pd1 0.0000 0.5000 0.7526
```


Entry 6:
A geometry-optimized Li2Mg2Al2CuPd structure, computed with GGA-PBE.

```
data_Li2Mg2Al2CuPd
_chemical_formula_sum 'Li2 Mg2 Al2 Cu1 Pd1'
_cell_length_a 4.3907
_cell_length_b 4.3907
_cell_length_c 6.2125
_cell_angle_alpha 90.00
_cell_angle_beta 90.00
_cell_angle_gamma 90.00
_symmetry_space_group_name_H-M 'P -4 m 2'
_symmetry_Int_Tables_number 115
loop_
_symmetry_equiv_pos_as_xyz
'x,y,z'
'y,-x,-z'
'-x,-y,z'
'-y,x,-z'
'-x,y,z'
'-y,-x,-z'
'x,-y,z'
'y,x,-z'
loop_
_atom_site_label
_atom_site_fract_x
_atom_site_fract_y
_atom_site_fract_z
Li1 0.0000 0.0000 0.0000
Li2 0.5000 0.5000 0.5000
Mg1 0.0000 0.5000 0.2491
Al1 0.0000 0.5000 0.7500
Cu1 0.5000 0.5000 0.0000
Pd1 0.0000 0.0000 0.5000
```


Entry 7:
A geometry-optimized LiMg2Al2CuPd2 structure, computed with GGA-PBE.

```
data_LiMg2Al2CuPd2
_chemical_formula_sum 'Li1 Mg2 Al2 Cu1 Pd2'
_cell_length_a 4.3960
_cell_length_b 4.3960
_cell_length_c 6.2518
_cell_angle_alpha 90.00
_cell_angle_beta 90.00
_cell_angle_gamma 90.00
_symmetry_space_group_name_H-M 'P -4 m 2'
_symmetry_Int_Tables_number 115
loop_
_symmetry_equiv_pos_as_xyz
'x,y,z'
'y,-x,-z'
'-x,-y,z'
'-y,x,-z'
'-x,y,z'
'-y,-x,-z'
'x,-y,z'
'y,x,-z'
loop_
_atom_site_label
_atom_site_fract_x
_atom_site_fract_y
_atom_site_fract_z
Li1 0.0000 0.0000 0.0000
Mg1 0.0000 0.5000 0.7480
Al1 0.0000 0.5000 0.2585
Cu1 0.5000 0.5000 0.5000
Pd1 0.0000 0.0000 0.5000
Pd2 0.5000 0.5000 0.0000
```


Entry 8:
A geometry-optimized Li2MgAl2Cu2Pd structure, computed with GGA-PBE.

```
data_Li2MgAl2Cu2Pd
_chemical_formula_sum 'Li2 Mg1 Al2 Cu2 Pd1'
_cell_length_a 4.2748
_cell_length_b 4.2748
_cell_length_c 6.1871
_cell_angle_alpha 90.00
_cell_angle_beta 90.00
_cell_angle_gamma 90.00
_symmetry_space_group_name_H-M 'P -4 m 2'
_symmetry_Int_Tables_number 115
loop_
_symmetry_equiv_pos_as_xyz
'x,y,z'
'y,-x,-z'
'-x,-y,z'
'-y,x,-z'
'-x,y,z'
'-y,-x,-z'
'x,-y,z'
'y,x,-z'
loop_
_atom_site_label
_atom_site_fract_x
_atom_site_fract_y
_atom_site_fract_z
Li1 0.0000 0.5000 0.2388
Mg1 0.0000 0.0000 0.5000
Al1 0.0000 0.5000 0.7768
Cu1 0.0000 0.0000 0.0000
Cu2 0.5000 0.5000 0.5000
Pd1 0.5000 0.5000 0.0000
```


Per-record mass density, g/cm³: 4.84; 2.98; 2.30; 4.81; 5.30; 3.97; 5.30; 4.78
Per-record electronic total energy, eV per cell: -26.56; -21.28; -21.54; -27.90; -30.95; -26.41; -30.90; -27.98